Record 1
CeInRh: optimized geometry, GGA-PBE.

Cell: 7.5813 7.5813 3.9902 Å, 90.00 90.00 120.00°
With the nearest neighbours (Å) after each atom.
Sites, in units of the cell vectors:
Ce 0.0000 0.5883 0.0000  5 Rh 3.04-3.12, 6 In 3.23-3.38
Ce 0.4117 0.4117 0.0000  5 Rh 3.04-3.12, 6 In 3.23-3.38
Ce 0.5883 0.0000 0.0000  5 Rh 3.04-3.12, 6 In 3.23-3.38
In 0.0000 0.2525 0.5000  4 Rh 2.76-2.88
In 0.2525 0.0000 0.5000  4 Rh 2.76-2.88
In 0.7475 0.7475 0.5000  4 Rh 2.76-2.88
Rh 0.0000 0.0000 0.0000  6 In 2.76
Rh 0.3333 0.6667 0.5000  3 In 2.88, 6 Ce 3.04
Rh 0.6667 0.3333 0.5000  3 In 2.88, 6 Ce 3.04

The value obtained for the density of states at the Fermi level is 4.5 states/eV/f.u.

---

Record 2
Ce2InRh2: optimized geometry, GGA-PBE.

Cell: 7.6566 7.6566 3.7286 Å, 90.00 90.00 90.00°
With the nearest neighbours (Å) after each atom.
Sites, in units of the cell vectors:
Ce 0.1691 0.3309 0.0000  6 Rh 2.81-3.01
Ce 0.3309 0.8309 0.0000  6 Rh 2.81-3.01
Ce 0.6691 0.1691 0.0000  6 Rh 2.81-3.01
Ce 0.8309 0.6691 0.0000  6 Rh 2.81-3.01
In 0.0000 0.0000 0.5000  4 Rh 2.97
In 0.5000 0.5000 0.5000  4 Rh 2.97
Rh 0.1371 0.6371 0.5000  6 Ce 2.81-3.01, 1 Rh 2.97, 2 In 2.97
Rh 0.3629 0.1371 0.5000  6 Ce 2.81-3.01, 1 Rh 2.97, 2 In 2.97
Rh 0.6371 0.8629 0.5000  6 Ce 2.81-3.01, 1 Rh 2.97, 2 In 2.97
Rh 0.8629 0.3629 0.5000  6 Ce 2.81-3.01, 1 Rh 2.97, 2 In 2.97

The value obtained for the density of states at the Fermi level is 5.4 states/eV/f.u.

---

Record 3
Ce6In2Rh: optimized geometry, GGA-PBE.

Cell: 5.6070 8.2756 11.3283 Å, 90.00 117.48 90.00°
With the nearest neighbours (Å) after each atom.
Sites, in units of the cell vectors:
Ce 0.0008 0.1073 0.2162  2 Ce 2.78
Ce 0.0008 0.3927 0.7162  2 Ce 2.78
Ce 0.1380 0.6897 0.0016  1 Rh 2.57, 2 Ce 2.78
Ce 0.1380 0.8103 0.5016  1 Rh 2.57, 2 Ce 2.78
Ce 0.2566 0.1217 0.9820  2 Ce 2.78
Ce 0.2566 0.3783 0.4820  2 Ce 2.78
Ce 0.7434 0.6217 0.5180  2 Ce 2.78
Ce 0.7434 0.8783 0.0180  2 Ce 2.78
Ce 0.8620 0.1897 0.4984  1 Rh 2.57, 2 Ce 2.78
Ce 0.8620 0.3103 0.9984  1 Rh 2.57, 2 Ce 2.78
Ce 0.9992 0.6073 0.2838  2 Ce 2.78
Ce 0.9992 0.8927 0.7838  2 Ce 2.78
In 0.4717 0.1094 0.7339  1 Rh 2.87
In 0.4717 0.3906 0.2339  1 Rh 2.87
In 0.5283 0.6094 0.7661  1 Rh 2.87
In 0.5283 0.8906 0.2661  1 Rh 2.87
Rh 0.5000 0.0000 0.5000  2 Ce 2.57, 2 In 2.87
Rh 0.5000 0.5000 0.0000  2 Ce 2.57, 2 In 2.87

The value obtained for the density of states at the Fermi level is 21.0 states/eV/f.u.

---

Record 4
CeIn5Rh6: optimized geometry, GGA-PBE.

Cell: 7.1182 7.1182 6.9752 Å, 90.00 90.00 143.22°
With the nearest neighbours (Å) after each atom.
Sites, in units of the cell vectors:
Ce 0.0000 0.0000 0.0000  8 Rh 2.87-2.88
In 0.0000 0.0000 0.5000  8 Rh 2.82-2.84
In 0.3294 0.6706 0.0000  8 Rh 2.82-2.92, 2 In 3.11
In 0.3340 0.6660 0.5000  8 Rh 2.82
In 0.6660 0.3340 0.5000  8 Rh 2.82
In 0.6706 0.3294 0.0000  8 Rh 2.82-2.92, 2 In 3.11
Rh 0.1676 0.8324 0.2554  7 In 2.82-2.87, 1 Ce 2.88
Rh 0.1676 0.8324 0.7446  7 In 2.82-2.87, 1 Ce 2.88
Rh 0.5000 0.5000 0.2560  6 In 2.82-2.92, 2 Ce 2.87
Rh 0.5000 0.5000 0.7440  6 In 2.82-2.92, 2 Ce 2.87
Rh 0.8324 0.1676 0.2554  7 In 2.82-2.87, 1 Ce 2.88
Rh 0.8324 0.1676 0.7446  7 In 2.82-2.87, 1 Ce 2.88

The value obtained for the density of states at the Fermi level is 4.5 states/eV/f.u.

---

Size of the total moment? In order: 0.1, 0.0, 3.9, 0.2 μB/cell.
Uncorrected energy? In order: -6.053, -6.638, -5.631, -5.823 eV per atom.